CaBeMo2: optimized geometry, PBE-GGA.

a = 3.242 Å, b = 3.242 Å, c = 6.897 Å
α = 90.00°, β = 90.00°, γ = 90.00°
Space group P4/mmm (No. 123)
Unique sites:
Ca (0.000, 0.000, 0.000) x1
Be (0.000, 0.000, 0.500) x1
Mo (0.500, 0.500, 0.340) x2

Computed properties:
E_form (eV per atom): 0.45
Total DFT energy (no corrections) (eV for the cell shown): -25.58